[1]
Density functional theory data (GGA-PBE) for an optimized crystal structure of Pm3TeI7.

Cell: 9.040 9.040 7.459 Å, 90.00 90.00 120.00°
Atoms (fractional coordinates):
Pm  0.011  0.506  0.000
Pm  0.494  0.506  0.000
Pm  0.494  0.989  0.000
Te  0.333  0.667  0.234
I  0.171  0.342  0.755
I  0.171  0.829  0.755
I  0.342  0.171  0.227
I  0.658  0.829  0.755
I  0.667  0.333  0.751
I  0.829  0.171  0.227
I  0.829  0.658  0.227

Values from the calculation:
* ΔE_f (raw): -1.4020 eV per atom
* theoretical density: 4.6 g/cm³
* space-group type: P3m1



[2]
Density functional theory data (GGA-PBE) for an optimized crystal structure of Pm4Te5I.

Cell: 9.307 10.992 7.788 Å, 90.00 90.00 90.00°
Atoms (fractional coordinates):
Pm  0.039  0.250  0.049
Pm  0.250  0.501  0.505
Pm  0.250  0.999  0.505
Pm  0.461  0.250  0.049
Pm  0.539  0.750  0.951
Pm  0.750  0.001  0.495
Pm  0.750  0.499  0.495
Pm  0.961  0.750  0.951
Te  0.005  0.551  0.235
Te  0.005  0.949  0.235
Te  0.250  0.250  0.355
Te  0.495  0.551  0.235
Te  0.495  0.949  0.235
Te  0.505  0.051  0.765
Te  0.505  0.449  0.765
Te  0.750  0.750  0.645
Te  0.995  0.051  0.765
Te  0.995  0.449  0.765
I  0.250  0.750  0.718
I  0.750  0.250  0.282

Values from the calculation:
* ΔE_f (raw): -1.1906 eV per atom
* theoretical density: 5.6 g/cm³
* space-group type: Pmmn



[3]
Density functional theory data (GGA-PBE) for an optimized crystal structure of Pm2TeI.

Cell: 3.859 3.859 7.717 Å, 90.00 90.00 90.00°
Atoms (fractional coordinates):
Pm  0.000  0.000  0.238
Pm  0.000  0.000  0.762
Te  0.500  0.500  0.000
I  0.500  0.500  0.500

Values from the calculation:
* ΔE_f (raw): -1.0902 eV per atom
* theoretical density: 7.9 g/cm³
* space-group type: P4/mmm



[4]
Density functional theory data (GGA-PBE) for an optimized crystal structure of Pm2Te2I.

Cell: 4.451 6.187 13.477 Å, 90.00 90.00 90.00°
Atoms (fractional coordinates):
Pm  0.000  0.000  0.181
Pm  0.000  0.000  0.819
Pm  0.500  0.500  0.319
Pm  0.500  0.500  0.681
Te  0.000  0.500  0.158
Te  0.000  0.500  0.842
Te  0.500  0.000  0.342
Te  0.500  0.000  0.658
I  0.000  0.500  0.500
I  0.500  0.000  0.000

Values from the calculation:
* ΔE_f (raw): -1.3510 eV per atom
* theoretical density: 6.0 g/cm³
* space-group type: Immm



[5]
Density functional theory data (GGA-PBE) for an optimized crystal structure of PmThTeI.

Cell: 7.722 7.722 7.722 Å, 90.00 90.00 90.00°
Atoms (fractional coordinates):
Pm  0.000  0.000  0.000
Pm  0.000  0.500  0.500
Pm  0.500  0.000  0.500
Pm  0.500  0.500  0.000
Th  0.000  0.000  0.500
Th  0.000  0.500  0.000
Th  0.500  0.000  0.000
Th  0.500  0.500  0.500
Te  0.250  0.250  0.250
Te  0.250  0.750  0.750
Te  0.750  0.250  0.750
Te  0.750  0.750  0.250
I  0.250  0.250  0.750
I  0.250  0.750  0.250
I  0.750  0.250  0.250
I  0.750  0.750  0.750

Values from the calculation:
* ΔE_f (raw): -0.9027 eV per atom
* theoretical density: 9.1 g/cm³
* space-group type: F-43m



[6]
Density functional theory data (GGA-PBE) for an optimized crystal structure of PmThI4.

Cell: 6.986 4.021 8.870 Å, 90.00 104.93 90.00°
Atoms (fractional coordinates):
Pm  0.000  0.000  0.000
Th  0.500  0.500  0.000
I  0.249  0.000  0.741
I  0.250  0.500  0.254
I  0.750  0.500  0.746
I  0.751  0.000  0.259

Values from the calculation:
* ΔE_f (raw): -1.1334 eV per atom
* theoretical density: 6.1 g/cm³
* space-group type: P2/m



[7]
Density functional theory data (GGA-PBE) for an optimized crystal structure of PmTiI.

Cell: 4.009 4.373 10.999 Å, 90.00 100.41 90.00°
Atoms (fractional coordinates):
Pm  0.088  0.250  0.178
Pm  0.912  0.750  0.822
Ti  0.474  0.250  0.948
Ti  0.526  0.750  0.052
I  0.335  0.250  0.667
I  0.665  0.750  0.333

Values from the calculation:
* ΔE_f (raw): -0.4032 eV per atom
* theoretical density: 5.6 g/cm³
* space-group type: P2_1/m



[8]
Density functional theory data (GGA-PBE) for an optimized crystal structure of PmTlI2.

Cell: 4.012 4.012 34.379 Å, 90.00 90.00 120.00°
Atoms (fractional coordinates):
Pm  0.000  0.000  0.000
Pm  0.333  0.667  0.667
Pm  0.667  0.333  0.333
Tl  0.000  0.000  0.500
Tl  0.333  0.667  0.167
Tl  0.667  0.333  0.833
I  0.000  0.000  0.396
I  0.000  0.000  0.604
I  0.333  0.667  0.063
I  0.333  0.667  0.270
I  0.667  0.333  0.730
I  0.667  0.333  0.937

Values from the calculation:
* ΔE_f (raw): -0.8305 eV per atom
* theoretical density: 6.3 g/cm³
* space-group type: R-3m



[9]
Density functional theory data (GGA-PBE) for an optimized crystal structure of Pm3TlI7.

Cell: 8.551 8.551 7.610 Å, 90.00 90.00 120.00°
Atoms (fractional coordinates):
Pm  0.018  0.509  0.000
Pm  0.491  0.509  0.000
Pm  0.491  0.982  0.000
Tl  0.333  0.667  0.375
I  0.165  0.330  0.742
I  0.165  0.835  0.742
I  0.328  0.164  0.240
I  0.667  0.333  0.748
I  0.670  0.835  0.742
I  0.836  0.164  0.240
I  0.836  0.672  0.240

Values from the calculation:
* ΔE_f (raw): -1.0664 eV per atom
* theoretical density: 5.3 g/cm³
* space-group type: P3m1



[10]
Density functional theory data (GGA-PBE) for an optimized crystal structure of Pm2TlI8.

Cell: 10.939 10.939 7.865 Å, 96.43 96.43 44.65°
Atoms (fractional coordinates):
Pm  0.150  0.150  0.457
Pm  0.850  0.850  0.543
Tl  0.000  0.000  0.000
I  0.144  0.144  0.832
I  0.193  0.668  0.731
I  0.289  0.289  0.379
I  0.332  0.807  0.269
I  0.668  0.193  0.731
I  0.711  0.711  0.621
I  0.807  0.332  0.269
I  0.856  0.856  0.168

Values from the calculation:
* ΔE_f (raw): -0.9792 eV per atom
* theoretical density: 3.8 g/cm³
* space-group type: C2/m



[11]
Density functional theory data (GGA-PBE) for an optimized crystal structure of PmTl3I6.

Cell: 8.279 9.214 14.128 Å, 90.00 121.46 90.00°
Atoms (fractional coordinates):
Pm  0.000  0.000  0.000
Pm  0.000  0.500  0.500
Tl  0.311  0.094  0.776
Tl  0.311  0.406  0.276
Tl  0.500  0.000  0.500
Tl  0.500  0.500  0.000
Tl  0.689  0.594  0.724
Tl  0.689  0.906  0.224
I  0.089  0.063  0.239
I  0.089  0.437  0.739
I  0.240  0.715  0.083
I  0.240  0.785  0.583
I  0.361  0.169  0.050
I  0.361  0.331  0.550
I  0.639  0.669  0.450
I  0.639  0.831  0.950
I  0.760  0.215  0.417
I  0.760  0.285  0.917
I  0.911  0.563  0.261
I  0.911  0.937  0.761

Values from the calculation:
* ΔE_f (raw): -0.9618 eV per atom
* theoretical density: 5.5 g/cm³
* space-group type: P2_1/c



[12]
Density functional theory data (GGA-PBE) for an optimized crystal structure of Pm2TlI6.

Cell: 8.584 8.584 8.584 Å, 57.80 57.80 57.80°
Atoms (fractional coordinates):
Pm  0.000  0.000  0.000
Pm  0.170  0.170  0.170
Tl  0.670  0.670  0.670
I  0.116  0.763  0.375
I  0.220  0.591  0.930
I  0.375  0.116  0.763
I  0.591  0.930  0.220
I  0.763  0.375  0.116
I  0.930  0.220  0.591

Values from the calculation:
* ΔE_f (raw): -1.1740 eV per atom
* theoretical density: 4.9 g/cm³
* space-group type: R3



[13]
Density functional theory data (GGA-PBE) for an optimized crystal structure of PmTlI4.

Cell: 9.182 9.182 7.654 Å, 107.68 107.68 110.51°
Atoms (fractional coordinates):
Pm  0.000  0.000  0.250
Pm  0.000  0.000  0.750
Tl  0.370  0.630  0.750
Tl  0.630  0.370  0.250
I  0.055  0.728  0.423
I  0.216  0.345  0.205
I  0.272  0.945  0.077
I  0.345  0.216  0.705
I  0.655  0.784  0.295
I  0.728  0.055  0.923
I  0.784  0.655  0.795
I  0.945  0.272  0.577

Values from the calculation:
* ΔE_f (raw): -1.1048 eV per atom
* theoretical density: 5.6 g/cm³
* space-group type: C2/c



[14]
Density functional theory data (GGA-PBE) for an optimized crystal structure of PmTl2I5.

Cell: 13.999 9.201 10.752 Å, 90.00 90.00 90.00°
Atoms (fractional coordinates):
Pm  0.001  0.250  0.003
Pm  0.499  0.750  0.503
Pm  0.501  0.250  0.497
Pm  0.999  0.750  0.997
Tl  0.165  0.501  0.584
Tl  0.165  0.999  0.584
Tl  0.335  0.001  0.084
Tl  0.335  0.499  0.084
Tl  0.665  0.501  0.916
Tl  0.665  0.999  0.916
Tl  0.835  0.001  0.416
Tl  0.835  0.499  0.416
I  0.001  0.250  0.499
I  0.070  0.503  0.177
I  0.070  0.997  0.177
I  0.196  0.750  0.868
I  0.197  0.250  0.873
I  0.303  0.750  0.373
I  0.304  0.250  0.368
I  0.430  0.003  0.677
I  0.430  0.497  0.677
I  0.499  0.750  0.999
I  0.501  0.250  0.001
I  0.570  0.503  0.323
I  0.570  0.997  0.323
I  0.696  0.750  0.632
I  0.697  0.250  0.627
I  0.803  0.750  0.127
I  0.804  0.250  0.132
I  0.930  0.003  0.823
I  0.930  0.497  0.823
I  0.999  0.750  0.501

Values from the calculation:
* ΔE_f (raw): -1.0228 eV per atom
* theoretical density: 5.7 g/cm³
* space-group type: Pnma



[15]
Density functional theory data (GGA-PBE) for an optimized crystal structure of Pm3TlI.

Cell: 9.309 6.445 11.118 Å, 90.00 107.41 90.00°
Atoms (fractional coordinates):
Pm  0.044  0.101  0.285
Pm  0.044  0.399  0.785
Pm  0.187  0.624  0.535
Pm  0.187  0.876  0.035
Pm  0.427  0.207  0.862
Pm  0.427  0.293  0.362
Pm  0.573  0.707  0.638
Pm  0.573  0.793  0.138
Pm  0.813  0.124  0.965
Pm  0.813  0.376  0.465
Pm  0.956  0.601  0.215
Pm  0.956  0.899  0.715
Tl  0.352  0.703  0.839
Tl  0.352  0.797  0.339
Tl  0.648  0.203  0.661
Tl  0.648  0.297  0.161
I  0.178  0.139  0.587
I  0.178  0.361  0.087
I  0.822  0.639  0.913
I  0.822  0.861  0.413

Values from the calculation:
* ΔE_f (raw): -0.3765 eV per atom
* theoretical density: 8.0 g/cm³
* space-group type: P2_1/c



[16]
Density functional theory data (GGA-PBE) for an optimized crystal structure of Pm3Tl2I2.

Cell: 4.563 6.115 9.670 Å, 73.49 89.94 68.10°
Atoms (fractional coordinates):
Pm  0.000  0.000  0.000
Pm  0.213  0.575  0.718
Pm  0.787  0.425  0.282
Tl  0.335  0.330  0.079
Tl  0.665  0.670  0.921
I  0.101  0.795  0.358
I  0.899  0.205  0.642

Values from the calculation:
* ΔE_f (raw): -0.6234 eV per atom
* theoretical density: 7.6 g/cm³
* space-group type: P-1



[17]
Density functional theory data (GGA-PBE) for an optimized crystal structure of Pm4Tl2I.

Cell: 9.407 9.407 9.406 Å, 119.93 119.93 90.09°
Atoms (fractional coordinates):
Pm  0.019  0.557  0.499
Pm  0.019  0.558  0.077
Pm  0.019  0.981  0.500
Pm  0.557  0.019  0.999
Pm  0.558  0.019  0.577
Pm  0.558  0.596  0.578
Pm  0.596  0.558  0.078
Pm  0.981  0.019  0.000
Tl  0.288  0.788  0.538
Tl  0.788  0.288  0.038
Tl  0.788  0.789  0.039
Tl  0.789  0.788  0.539
I  0.163  0.413  0.788
I  0.413  0.163  0.288

Values from the calculation:
* ΔE_f (raw): -0.1804 eV per atom
* theoretical density: 6.3 g/cm³
* space-group type: Cc



[18]
Density functional theory data (GGA-PBE) for an optimized crystal structure of Pm6TlI8.

Cell: 12.432 12.432 12.432 Å, 35.89 35.89 35.89°
Atoms (fractional coordinates):
Pm  0.051  0.377  0.725
Pm  0.275  0.949  0.623
Pm  0.377  0.725  0.051
Pm  0.623  0.275  0.949
Pm  0.725  0.051  0.377
Pm  0.949  0.623  0.275
Tl  0.000  0.000  0.000
I  0.107  0.774  0.442
I  0.226  0.558  0.893
I  0.333  0.333  0.333
I  0.442  0.107  0.774
I  0.558  0.893  0.226
I  0.667  0.667  0.667
I  0.774  0.442  0.107
I  0.893  0.226  0.558

Values from the calculation:
* ΔE_f (raw): -1.0447 eV per atom
* theoretical density: 5.9 g/cm³
* space-group type: R-3



[19]
Density functional theory data (GGA-PBE) for an optimized crystal structure of PmTl2I6.

Cell: 4.474 9.679 9.679 Å, 123.39 90.00 90.00°
Atoms (fractional coordinates):
Pm  0.000  0.000  0.000
Tl  0.500  0.317  0.657
Tl  0.500  0.657  0.317
I  0.000  0.002  0.393
I  0.000  0.393  0.002
I  0.000  0.632  0.632
I  0.500  0.004  0.765
I  0.500  0.251  0.251
I  0.500  0.765  0.004

Values from the calculation:
* ΔE_f (raw): -0.8149 eV per atom
* theoretical density: 6.2 g/cm³
* space-group type: Amm2



[20]
Density functional theory data (GGA-PBE) for an optimized crystal structure of Pm4Tl2I3.

Cell: 4.395 4.395 19.455 Å, 90.05 90.05 60.00°
Atoms (fractional coordinates):
Pm  0.001  0.001  0.297
Pm  0.334  0.334  0.105
Pm  0.666  0.666  0.895
Pm  0.999  0.999  0.703
Tl  0.333  0.333  0.800
Tl  0.667  0.667  0.200
I  0.000  0.000  0.000
I  0.334  0.334  0.398
I  0.666  0.666  0.602

Values from the calculation:
* ΔE_f (raw): -0.7761 eV per atom
* theoretical density: 7.0 g/cm³
* space-group type: C2/m



[21]
Density functional theory data (GGA-PBE) for an optimized crystal structure of PmTlI4.

Cell: 4.631 7.956 8.760 Å, 79.47 90.00 73.25°
Atoms (fractional coordinates):
Pm  0.000  0.000  0.000
Tl  0.500  0.000  0.500
I  0.119  0.759  0.323
I  0.383  0.236  0.104
I  0.617  0.764  0.896
I  0.881  0.241  0.677

Values from the calculation:
* ΔE_f (raw): -1.1550 eV per atom
* theoretical density: 4.7 g/cm³
* space-group type: P-1